[1]
## ReSbS3 (PBE-GGA)

Data for ReSbS3 after structural relaxation.

POSCAR file:
```
ReSbS3
1.0
-3.772 3.222 -0.116
-3.190 -3.756 -0.588
-0.469 -0.373 4.926
S Sb Re
3 1 1
direct
0.000 0.000 0.500
0.500 0.000 0.000
0.000 0.500 0.000
0.000 0.000 0.000
0.500 0.500 0.500
```

Summary:
Formation energy without anion corrections ... 7.079 eV per formula unit
Excess energy over the best structure of this formula in the dataset ... 1.071 eV/atom
Calculated volume ... 122.2 Å³ per cell

***

[2]
## ReSbTeS2 (PBE-GGA)

Data for ReSbTeS2 after structural relaxation.

POSCAR file:
```
ReSbTeS2
1.0
4.535 0.000 0.000
0.000 5.794 0.000
0.000 0.000 4.535
Te Sb S Re
1 1 2 1
direct
0.000 0.500 0.000
0.500 0.500 0.500
0.000 0.000 0.500
0.500 0.000 0.000
0.000 0.000 0.000
```

Summary:
Formation energy without anion corrections ... 1.405 eV per formula unit
Calculated volume ... 119.1 Å³ per cell

***

[3]
## TiRe2SbS (PBE-GGA)

Data for TiRe2SbS after structural relaxation.

POSCAR file:
```
TiRe2SbS
1.0
-2.518 -2.828 2.311
3.689 -1.921 1.668
-0.062 2.840 3.407
Ti Re S Sb
1 2 1 1
direct
0.000 0.500 0.000
0.000 0.000 0.500
0.500 0.000 0.000
0.000 0.000 0.000
0.500 0.500 0.500
```

Summary:
Formation energy without anion corrections ... 2.457 eV per formula unit
Calculated volume ... 88.2 Å³ per cell